Record 1
Ca2TcCl: relaxed, GGA-PBE.

```
data_Ca2TcCl
_chemical_formula_sum 'Ca2 Tc1 Cl1'
_space_group_name_H-M_alt 'P 1'
_space_group_IT_number 1
_space_group_name_Hall 'P 1'
_cell_length_a 5.170
_cell_length_b 5.170
_cell_length_c 5.170
_cell_angle_alpha 60.00
_cell_angle_beta 60.00
_cell_angle_gamma 60.00
loop_
_atom_site_label
_atom_site_fract_x
_atom_site_fract_y
_atom_site_fract_z
_atom_site_occupancy
Ca1 0.000 0.000 0.000 1
Ca2 0.250 0.250 0.250 1
Tc1 0.750 0.750 0.750 1
Cl1 0.500 0.500 0.500 1
```

Results
- distance to the lowest polymorph of the same formula (kcal/mol of atoms) = 20.58
- total energy (eV/cell) = -14.197
- calculated density (g cm⁻³) = 3.63
- formation energy from raw total energies (eV per atom) = 0.5047

***

Record 2
Ca2TcCl: relaxed, GGA-PBE.

```
data_Ca2TcCl
_chemical_formula_sum 'Ca2 Tc1 Cl1'
_space_group_name_H-M_alt 'P 1'
_space_group_IT_number 1
_space_group_name_Hall 'P 1'
_cell_length_a 5.784
_cell_length_b 5.784
_cell_length_c 5.225
_cell_angle_alpha 90.02
_cell_angle_beta 90.02
_cell_angle_gamma 31.61
loop_
_atom_site_label
_atom_site_fract_x
_atom_site_fract_y
_atom_site_fract_z
_atom_site_occupancy
Ca1 0.000 0.000 0.000 1
Ca2 0.743 0.743 0.500 1
Tc1 0.258 0.258 0.000 1
Cl1 0.482 0.482 0.499 1
```

Results
- distance to the lowest polymorph of the same formula (kcal/mol of atoms) = 5.39
- total energy (eV/cell) = -16.832
- calculated density (g cm⁻³) = 3.87
- formation energy from raw total energies (eV per atom) = -0.1540

***

Record 3
CaTc3Cl: relaxed, GGA-PBE.

```
data_CaTc3Cl
_chemical_formula_sum 'Ca1 Tc3 Cl1'
_space_group_name_H-M_alt 'P 1'
_space_group_IT_number 1
_space_group_name_Hall 'P 1'
_cell_length_a 4.470
_cell_length_b 4.470
_cell_length_c 4.470
_cell_angle_alpha 90.00
_cell_angle_beta 90.00
_cell_angle_gamma 90.00
loop_
_atom_site_label
_atom_site_fract_x
_atom_site_fract_y
_atom_site_fract_z
_atom_site_occupancy
Ca1 0.000 0.000 0.000 1
Tc1 0.000 0.500 0.500 1
Tc2 0.500 0.000 0.500 1
Tc3 0.500 0.500 0.000 1
Cl1 0.500 0.500 0.500 1
```

Results
- distance to the lowest polymorph of the same formula (kcal/mol of atoms) = 0.00
- total energy (eV/cell) = -30.596
- calculated density (g cm⁻³) = 6.87
- formation energy from raw total energies (eV per atom) = 0.8700

***

Record 4
CaTcCl: relaxed, GGA-PBE.

```
data_CaTcCl
_chemical_formula_sum 'Ca1 Tc1 Cl1'
_space_group_name_H-M_alt 'P 1'
_space_group_IT_number 1
_space_group_name_Hall 'P 1'
_cell_length_a 4.228
_cell_length_b 4.228
_cell_length_c 3.963
_cell_angle_alpha 90.00
_cell_angle_beta 90.00
_cell_angle_gamma 120.00
loop_
_atom_site_label
_atom_site_fract_x
_atom_site_fract_y
_atom_site_fract_z
_atom_site_occupancy
Ca1 0.000 0.000 0.000 1
Tc1 0.667 0.333 0.500 1
Cl1 0.333 0.667 0.501 1
```

Results
- distance to the lowest polymorph of the same formula (kcal/mol of atoms) = 3.17
- total energy (eV/cell) = -13.520
- calculated density (g cm⁻³) = 4.70
- formation energy from raw total energies (eV per atom) = 0.2315

***

Record 5
CaTcCl: relaxed, GGA-PBE.

```
data_CaTcCl
_chemical_formula_sum 'Ca1 Tc1 Cl1'
_space_group_name_H-M_alt 'P 1'
_space_group_IT_number 1
_space_group_name_Hall 'P 1'
_cell_length_a 6.912
_cell_length_b 6.912
_cell_length_c 6.912
_cell_angle_alpha 152.87
_cell_angle_beta 152.87
_cell_angle_gamma 38.75
loop_
_atom_site_label
_atom_site_fract_x
_atom_site_fract_y
_atom_site_fract_z
_atom_site_occupancy
Ca1 0.000 0.000 0.000 1
Tc1 0.668 0.668 0.000 1
Cl1 0.372 0.372 0.000 1
```

Results
- distance to the lowest polymorph of the same formula (kcal/mol of atoms) = 0.00
- total energy (eV/cell) = -13.932
- calculated density (g cm⁻³) = 4.20
- formation energy from raw total energies (eV per atom) = 0.0941

***

Record 6
CaTc2Cl: relaxed, GGA-PBE.

```
data_CaTc2Cl
_chemical_formula_sum 'Ca1 Tc2 Cl1'
_space_group_name_H-M_alt 'P 1'
_space_group_IT_number 1
_space_group_name_Hall 'P 1'
_cell_length_a 9.284
_cell_length_b 9.284
_cell_length_c 9.284
_cell_angle_alpha 18.61
_cell_angle_beta 18.61
_cell_angle_gamma 18.61
loop_
_atom_site_label
_atom_site_fract_x
_atom_site_fract_y
_atom_site_fract_z
_atom_site_occupancy
Ca1 0.000 0.000 0.000 1
Tc1 0.240 0.240 0.240 1
Tc2 0.760 0.760 0.760 1
Cl1 0.500 0.500 0.500 1
```

Results
- distance to the lowest polymorph of the same formula (kcal/mol of atoms) = 24.55
- total energy (eV/cell) = -21.338
- calculated density (g cm⁻³) = 6.33
- formation energy from raw total energies (eV per atom) = 0.8106

***

Record 7
CaTc2Cl: relaxed, GGA-PBE.

```
data_CaTc2Cl
_chemical_formula_sum 'Ca1 Tc2 Cl1'
_space_group_name_H-M_alt 'P 1'
_space_group_IT_number 1
_space_group_name_Hall 'P 1'
_cell_length_a 4.005
_cell_length_b 4.005
_cell_length_c 7.844
_cell_angle_alpha 108.73
_cell_angle_beta 108.73
_cell_angle_gamma 59.61
loop_
_atom_site_label
_atom_site_fract_x
_atom_site_fract_y
_atom_site_fract_z
_atom_site_occupancy
Ca1 0.000 0.000 0.000 1
Tc1 0.485 0.485 0.359 1
Tc2 0.798 0.798 0.312 1
Cl1 0.243 0.243 0.787 1
```

Results
- distance to the lowest polymorph of the same formula (kcal/mol of atoms) = 4.43
- total energy (eV/cell) = -24.828
- calculated density (g cm⁻³) = 4.47
- formation energy from raw total energies (eV per atom) = -0.0620

***

Record 8
Ca2TcCl: relaxed, GGA-PBE.

```
data_Ca2TcCl
_chemical_formula_sum 'Ca2 Tc1 Cl1'
_space_group_name_H-M_alt 'P 1'
_space_group_IT_number 1
_space_group_name_Hall 'P 1'
_cell_length_a 3.583
_cell_length_b 3.583
_cell_length_c 8.701
_cell_angle_alpha 100.81
_cell_angle_beta 100.81
_cell_angle_gamma 57.81
loop_
_atom_site_label
_atom_site_fract_x
_atom_site_fract_y
_atom_site_fract_z
_atom_site_occupancy
Ca1 0.245 0.245 0.254 1
Ca2 0.755 0.755 0.746 1
Tc1 0.000 0.000 0.500 1
Cl1 0.500 0.500 0.000 1
```

Results
- distance to the lowest polymorph of the same formula (kcal/mol of atoms) = 1.04
- total energy (eV/cell) = -17.586
- calculated density (g cm⁻³) = 3.84
- formation energy from raw total energies (eV per atom) = -0.3425

***

Record 9
CaTc2Cl: relaxed, GGA-PBE.

```
data_CaTc2Cl
_chemical_formula_sum 'Ca1 Tc2 Cl1'
_space_group_name_H-M_alt 'P 1'
_space_group_IT_number 1
_space_group_name_Hall 'P 1'
_cell_length_a 2.937
_cell_length_b 2.937
_cell_length_c 9.189
_cell_angle_alpha 90.00
_cell_angle_beta 90.00
_cell_angle_gamma 117.03
loop_
_atom_site_label
_atom_site_fract_x
_atom_site_fract_y
_atom_site_fract_z
_atom_site_occupancy
Ca1 0.000 0.000 0.000 1
Tc1 0.500 0.500 0.276 1
Tc2 0.500 0.500 0.724 1
Cl1 0.000 0.000 0.500 1
```

Results
- distance to the lowest polymorph of the same formula (kcal/mol of atoms) = 26.05
- total energy (eV/cell) = -21.078
- calculated density (g cm⁻³) = 6.39
- formation energy from raw total energies (eV per atom) = 0.8755

***

Record 10
CaTcCl: relaxed, GGA-PBE.

```
data_CaTcCl
_chemical_formula_sum 'Ca1 Tc1 Cl1'
_space_group_name_H-M_alt 'P 1'
_space_group_IT_number 1
_space_group_name_Hall 'P 1'
_cell_length_a 4.482
_cell_length_b 4.482
_cell_length_c 4.482
_cell_angle_alpha 60.00
_cell_angle_beta 60.00
_cell_angle_gamma 60.00
loop_
_atom_site_label
_atom_site_fract_x
_atom_site_fract_y
_atom_site_fract_z
_atom_site_occupancy
Ca1 0.000 0.000 0.000 1
Tc1 0.500 0.500 0.500 1
Cl1 0.750 0.750 0.750 1
```

Results
- distance to the lowest polymorph of the same formula (kcal/mol of atoms) = 8.03
- total energy (eV/cell) = -12.887
- calculated density (g cm⁻³) = 4.53
- formation energy from raw total energies (eV per atom) = 0.4424

***

Record 11
CaTc2Cl: relaxed, GGA-PBE.

```
data_CaTc2Cl
_chemical_formula_sum 'Ca1 Tc2 Cl1'
_space_group_name_H-M_alt 'P 1'
_space_group_IT_number 1
_space_group_name_Hall 'P 1'
_cell_length_a 3.799
_cell_length_b 3.799
_cell_length_c 5.472
_cell_angle_alpha 90.00
_cell_angle_beta 90.00
_cell_angle_gamma 90.00
loop_
_atom_site_label
_atom_site_fract_x
_atom_site_fract_y
_atom_site_fract_z
_atom_site_occupancy
Ca1 0.000 0.000 0.000 1
Tc1 0.500 0.500 0.303 1
Tc2 0.500 0.500 0.697 1
Cl1 0.000 0.000 0.500 1
```

Results
- distance to the lowest polymorph of the same formula (kcal/mol of atoms) = 26.33
- total energy (eV/cell) = -21.029
- calculated density (g cm⁻³) = 5.71
- formation energy from raw total energies (eV per atom) = 0.8878

***

Record 12
Ca2TcCl: relaxed, GGA-PBE.

```
data_Ca2TcCl
_chemical_formula_sum 'Ca2 Tc1 Cl1'
_space_group_name_H-M_alt 'P 1'
_space_group_IT_number 1
_space_group_name_Hall 'P 1'
_cell_length_a 3.373
_cell_length_b 3.373
_cell_length_c 10.042
_cell_angle_alpha 90.00
_cell_angle_beta 90.00
_cell_angle_gamma 90.19
loop_
_atom_site_label
_atom_site_fract_x
_atom_site_fract_y
_atom_site_fract_z
_atom_site_occupancy
Ca1 0.000 0.000 0.000 1
Ca2 0.500 0.500 0.334 1
Tc1 0.500 0.500 0.805 1
Cl1 0.000 0.000 0.481 1
```

Results
- distance to the lowest polymorph of the same formula (kcal/mol of atoms) = 10.80
- total energy (eV/cell) = -15.893
- calculated density (g cm⁻³) = 3.10
- formation energy from raw total energies (eV per atom) = 0.0806